# MnSb2Pb GGA-PBE relaxed
# Formation energy from raw total energies (eV per atom): 0.171
# Total magnetic moment (μB per formula unit): 3.105
data_MnSb2Pb
_chemical_formula_sum 'Mn2 Sb4 Pb2'
_cell_length_a 15.041
_cell_length_b 3.613
_cell_length_c 4.046
_cell_angle_alpha 90.00
_cell_angle_beta 105.55
_cell_angle_gamma 90.00
_space_group_name_H-M_alt 'C 1 m 1'
_space_group_IT_number 8
loop_
_space_group_symop_operation_xyz
'x,y,z'
'x,-y,z'
'x+1/2,y+1/2,z'
'x+1/2,-y+1/2,z'
loop_
_atom_site_label
_atom_site_type_symbol
_atom_site_fract_x
_atom_site_fract_y
_atom_site_fract_z
Mn1 Mn 0.000 0.000 0.000
Sb1 Sb 0.047 0.500 0.547
Sb2 Sb 0.360 0.000 0.858
Pb1 Pb 0.226 0.500 0.224